Entry from Alexandria: crystalline Mg2AlGe at its relaxed geometry (PBE-GGA).

Properties
ΔE_f	-0.042	eV/atom
space-group type	No. 123

a = 4.2503 Å, b = 4.2503 Å, c = 4.2156 Å
α = 90.00°, β = 90.00°, γ = 90.00°
Sites, in units of the cell vectors:
Mg 0.0000 0.5000 0.0000
Mg 0.5000 0.0000 0.0000
Al 0.0000 0.0000 0.5000
Ge 0.5000 0.5000 0.5000